A relaxed Pm2Mg16Ag crystal, computed with PBE-GGA.

Structure (extended XYZ):
```
19
Lattice="-6.902 -2.931 -1.985 -1.126 -4.405 6.285 -4.440 4.957 3.985" Properties=species:S:1:pos:R:3 pbc="T T T"
Ag -11.189 -2.135 7.436
Mg -2.869 -3.964 3.800
Mg -6.168 -0.558 -0.185
Mg -6.570 1.598 4.874
Mg -5.188 2.583 2.192
Mg -7.780 -2.278 1.942
Mg -9.060 -0.943 9.221
Mg -11.873 -0.226 5.194
Mg -10.259 -4.784 6.314
Mg -7.547 0.613 2.302
Pm -4.098 -0.782 2.723
Mg -1.124 -0.215 0.747
Mg -4.942 -3.002 6.004
Mg -4.717 -0.109 6.355
Mg -3.448 2.139 4.682
Mg -5.923 -3.975 3.429
Mg -5.169 -3.377 0.507
Mg -2.128 -1.588 5.598
Pm -8.396 -1.602 5.579
```

Results
Symmetry: R3m (160)
Final energy, eV/f.u.: -38.988
Total moment, μB per formula unit: 0.00